This record from Alexandria via LeMat-Bulk describes crystalline YCoSi2 at its relaxed geometry. The functional is PBE.

a = 3.154 Å, b = 3.154 Å, c = 6.420 Å
α = 90.00°, β = 90.00°, γ = 90.00°
Sites, in units of the cell vectors:
Y 0.000 0.000 0.000
Co 0.500 0.500 0.335
Si 0.000 0.000 0.473
Si 0.500 0.500 0.693

## Properties
The value obtained for the spin magnetization is 0.000 μB per cell. As for the total energy: -6.3976 eV per atom.